[1]
Density functional theory data (meta-GGA SCAN) for a PBEsol-optimized structure of KZr2Ni.

Values from the calculation:
- ΔE to the lowest computed polymorph: 2.61 eV per formula unit
- Space-group type: Pmmm, No. 47
- Energy of formation from the pure elements: 3.7 eV per formula unit
- Total moment: 0.0 μB per formula unit

Geometry as CIF:
```
data_KZr2Ni
_chemical_formula_sum 'K1 Zr2 Ni1'
_cell_length_a 3.145
_cell_length_b 5.125
_cell_length_c 5.151
_cell_angle_alpha 90.00
_cell_angle_beta 90.00
_cell_angle_gamma 90.00
_space_group_name_H-M_alt 'P 1'
_space_group_IT_number 1
loop_
_space_group_symop_operation_xyz
'x,y,z'
loop_
_atom_site_label
_atom_site_fract_x
_atom_site_fract_y
_atom_site_fract_z
K1 0.500 0.000 0.500
Zr1 0.500 0.500 0.000
Zr2 0.000 0.000 0.000
Ni1 0.000 0.500 0.500
```


[2]
Density functional theory data (meta-GGA SCAN) for a PBEsol-optimized structure of ZrIn2Pt.

Values from the calculation:
- Space-group type: R-3m, No. 166
- Energy of formation from the pure elements: -0.9 eV per formula unit
- Total moment: 0.0 μB per formula unit

Geometry as CIF:
```
data_ZrIn2Pt
_chemical_formula_sum 'Zr1 In2 Pt1'
_cell_length_a 3.165
_cell_length_b 3.165
_cell_length_c 9.387
_cell_angle_alpha 80.30
_cell_angle_beta 80.30
_cell_angle_gamma 60.00
_space_group_name_H-M_alt 'P 1'
_space_group_IT_number 1
loop_
_space_group_symop_operation_xyz
'x,y,z'
loop_
_atom_site_label
_atom_site_fract_x
_atom_site_fract_y
_atom_site_fract_z
In1 0.757 0.757 0.728
In2 0.243 0.243 0.272
Pt1 0.500 0.500 0.500
Zr1 0.000 0.000 0.000
```


[3]
Density functional theory data (meta-GGA SCAN) for a PBEsol-optimized structure of YLuIn2.

Values from the calculation:
- Space-group type: Fm-3m, No. 225
- Energy of formation from the pure elements: -2.4 eV per formula unit
- Total moment: 0.0 μB per formula unit

Geometry as CIF:
```
data_YLuIn2
_chemical_formula_sum 'Y1 Lu1 In2'
_cell_length_a 5.183
_cell_length_b 5.183
_cell_length_c 5.183
_cell_angle_alpha 60.00
_cell_angle_beta 60.00
_cell_angle_gamma 60.00
_space_group_name_H-M_alt 'P 1'
_space_group_IT_number 1
loop_
_space_group_symop_operation_xyz
'x,y,z'
loop_
_atom_site_label
_atom_site_fract_x
_atom_site_fract_y
_atom_site_fract_z
In1 0.250 0.250 0.250
In2 0.750 0.750 0.750
Y1 0.000 0.000 0.000
Lu1 0.500 0.500 0.500
```


[4]
Density functional theory data (meta-GGA SCAN) for a PBEsol-optimized structure of Ti2ReP2.

Values from the calculation:
- ΔE to the lowest computed polymorph: 2.46 eV per formula unit
- Space-group type: I4/mmm, No. 139
- Energy of formation from the pure elements: -2.1 eV per formula unit
- Total moment: 0.0 μB per formula unit

Geometry as CIF:
```
data_Ti2ReP2
_chemical_formula_sum 'Ti2 Re1 P2'
_cell_length_a 3.229
_cell_length_b 3.229
_cell_length_c 7.299
_cell_angle_alpha 102.78
_cell_angle_beta 102.78
_cell_angle_gamma 90.00
_space_group_name_H-M_alt 'P 1'
_space_group_IT_number 1
loop_
_space_group_symop_operation_xyz
'x,y,z'
loop_
_atom_site_label
_atom_site_fract_x
_atom_site_fract_y
_atom_site_fract_z
Ti1 0.606 0.606 0.212
Ti2 0.394 0.394 0.788
Re1 0.000 0.000 0.000
P1 0.750 0.250 0.500
P2 0.250 0.750 0.500
```


Number 1 is which compound?
KZr2Ni